# Cr3SeF

An optimized crystal structure of Cr3SeF (PBE with a Hubbard U, Alexandria via LeMat-Bulk).

Properties
* energy relative to the lowest polymorph listed for this composition: 0 meV per atom
* final energy: -29.2 eV per cell

a b c (Å): 4.567 4.567 4.567
angles (deg): 90.00 90.00 90.00
Each line ends with the local moment (μB).
Fractional positions:
F 0.000 0.000 0.000  0.08
Se 0.500 0.500 0.500  -0.04
Cr 0.000 0.500 0.000  4.50
Cr 0.000 0.000 0.500  4.53
Cr 0.500 0.000 0.000  4.46